[1]
ZrVPd2 | PBE | relaxed

Cell: 7.204 7.204 5.421 Å, 90.00 90.00 90.00°
Space group I-42d (No. 122)
Unique sites:
Zr  0.000  0.000  0.000 x4
V  0.000  0.000  0.500 x4
Pd  0.216  0.250  0.625 x8

Computed properties:
- mass density (kg/m3) = 8380
- N(E_F) (states/eV per atom) = 0.9834
- crystal system = tetragonal
- total DFT energy (no corrections) (eV/atom) = -7.052

[2]
AcZr2Zn | PBE | relaxed

Cell: 3.468 3.468 8.217 Å, 90.00 90.00 90.00°
Space group P4/mmm (No. 123)
Unique sites:
Ac  0.000  0.000  0.000 x1
Zr  0.500  0.500  0.308 x2
Zn  0.000  0.000  0.500 x1

Computed properties:
- mass density (kg/m3) = 7980
- N(E_F) (states/eV per atom) = 0.5945
- crystal system = tetragonal
- total DFT energy (no corrections) (eV/atom) = -5.561

[3]
Cs4Ce3PuS8 | PBE | relaxed

Cell: 14.698 8.469 9.426 Å, 90.00 121.39 90.00°
Space group C2/m (No. 12)
Unique sites:
Cs  0.000  0.000  0.000 x2
Cs  0.000  0.500  0.000 x2
Cs  0.250  0.250  0.000 x4
Ce  0.000  0.000  0.500 x2
Ce  0.250  0.250  0.500 x4
Pu  0.000  0.500  0.500 x2
S  0.021  0.255  0.318 x8
S  0.224  0.500  0.681 x4
S  0.229  0.000  0.686 x4

Computed properties:
- mass density (kg/m3) = 4816
- N(E_F) (states/eV per atom) = 1.7281
- crystal system = monoclinic
- total DFT energy (no corrections) (eV/atom) = -5.840
- raw formation energy (eV/atom) = -1.555

[4]
PaTl2Te4Pd | PBE | relaxed

Cell: 6.787 4.328 9.030 Å, 90.00 107.87 90.00°
Space group P2/m (No. 10)
Unique sites:
Pa  0.000  0.000  0.000 x1
Tl  0.000  0.500  0.500 x1
Tl  0.500  0.000  0.500 x1
Te  0.245  0.500  0.213 x2
Te  0.285  0.000  0.805 x2
Pd  0.500  0.500  0.000 x1

Computed properties:
- mass density (kg/m3) = 8266
- N(E_F) (states/eV per atom) = 0.5973
- crystal system = monoclinic
- total DFT energy (no corrections) (eV/atom) = -4.470
- raw formation energy (eV/atom) = -0.472

[5]
TcSb4Rh | PBE | relaxed

Cell: 8.435 8.435 8.435 Å, 90.00 90.00 90.00°
Space group F-43m (No. 216)
Unique sites:
Tc  0.000  0.000  0.000 x4
Sb  0.125  0.125  0.375 x16
Rh  0.250  0.250  0.750 x4

Computed properties:
- mass density (kg/m3) = 7614
- N(E_F) (states/eV per atom) = 1.0310
- crystal system = cubic
- total DFT energy (no corrections) (eV/atom) = -4.569
- raw formation energy (eV/atom) = 1.132

[6]
LiNiP2 | PBE | relaxed

Cell: 2.746 3.770 4.927 Å, 90.00 90.00 90.00°
Space group Pmmm (No. 47)
Unique sites:
Li  0.000  0.000  0.000 x1
Ni  0.500  0.000  0.500 x1
P  0.500  0.500  0.244 x2

Computed properties:
- mass density (kg/m3) = 4154
- N(E_F) (states/eV per atom) = 0.3316
- crystal system = orthorhombic
- total DFT energy (no corrections) (eV/atom) = -4.953

[7]
BeS2ClF | PBE | relaxed

Cell: 4.322 4.322 4.355 Å, 90.00 90.00 90.00°
Space group P4/mmm (No. 123)
Unique sites:
Be  0.000  0.000  0.000 x1
S  0.000  0.500  0.000 x2
Cl  0.000  0.000  0.500 x1
F  0.500  0.500  0.500 x1

Computed properties:
- mass density (kg/m3) = 2605
- N(E_F) (states/eV per atom) = 0.7512
- crystal system = tetragonal
- total DFT energy (no corrections) (eV/atom) = -2.954
- raw formation energy (eV/atom) = 0.186

[8]
PdPbAu | PBE | relaxed

Cell: 9.188 4.916 5.588 Å, 90.00 101.78 90.00°
Space group C2/m (No. 12)
Unique sites:
Pd  0.216  0.000  0.334 x4
Pb  0.136  0.000  0.805 x4
Au  0.040  0.500  0.261 x4

Computed properties:
- mass density (kg/m3) = 13725
- N(E_F) (states/eV per atom) = 0.3414
- crystal system = monoclinic
- total DFT energy (no corrections) (eV/atom) = -4.202

[9]
CsAgF3 | PBE | relaxed

Cell: 3.361 7.567 7.926 Å, 90.00 94.34 90.00°
Space group P2_1/m (No. 11)
Unique sites:
Cs  0.043  0.250  0.133 x2
Ag  0.097  0.750  0.327 x2
F  0.371  0.250  0.494 x2
F  0.430  0.076  0.811 x4

Computed properties:
- mass density (kg/m3) = 4920
- N(E_F) (states/eV per atom) = 0.6692
- crystal system = monoclinic
- total DFT energy (no corrections) (eV/atom) = -3.494
- raw formation energy (eV/atom) = -1.630

[10]
Na6Hg23Au | PBE | relaxed

Cell: 14.563 14.563 14.563 Å, 90.00 90.00 90.00°
Space group Fm-3m (No. 225)
Unique sites:
Na  0.000  0.000  0.241 x24
Hg  0.000  0.000  0.000 x4
Hg  0.000  0.250  0.250 x24
Hg  0.122  0.122  0.378 x32
Hg  0.135  0.135  0.135 x32
Au  0.000  0.000  0.500 x4

Computed properties:
- mass density (kg/m3) = 10641
- N(E_F) (states/eV per atom) = 0.4557
- crystal system = cubic
- total DFT energy (no corrections) (eV/atom) = -0.735

[11]
Ba2InSnPt | PBE | relaxed

Cell: 6.068 6.068 5.199 Å, 90.00 90.00 90.00°
Space group P4/mmm (No. 123)
Unique sites:
Ba  0.000  0.500  0.000 x2
In  0.000  0.000  0.500 x1
Sn  0.500  0.500  0.500 x1
Pt  0.000  0.000  0.000 x1

Computed properties:
- mass density (kg/m3) = 6101
- N(E_F) (states/eV per atom) = 0.8697
- crystal system = tetragonal
- total DFT energy (no corrections) (eV/atom) = -3.826

[12]
Tm5AlPd2 | PBE | relaxed

Cell: 7.652 7.652 13.326 Å, 90.00 90.00 90.00°
Space group I4/mcm (No. 140)
Unique sites:
Tm  0.000  0.000  0.000 x4
Tm  0.160  0.340  0.144 x16
Al  0.000  0.000  0.250 x4
Pd  0.134  0.366  0.500 x8

Computed properties:
- mass density (kg/m3) = 9231
- N(E_F) (states/eV per atom) = 1.1882
- crystal system = tetragonal
- total DFT energy (no corrections) (eV/atom) = -5.144